Record 1
Entry from Alexandria: a relaxed structure of Ba3YPb2O6 (PBE).

Values from the calculation:
- Formation energy (no corrections): -2.21 eV/atom
- Space group: No. 164
- Calculated volume: 243.44 Å³/cell

abc: 6.2522 6.2522 7.1912
angles: 90.00 90.00 120.00
Element x y z (fractional)
1 O 0.3385 0.1692 0.6842
2 O 0.1692 0.8308 0.3158
3 O 0.8308 0.1692 0.6842
4 O 0.1692 0.3385 0.3158
5 O 0.8308 0.6615 0.6842
6 O 0.6615 0.8308 0.3158
7 Pb 0.6667 0.3333 0.8722
8 Pb 0.3333 0.6667 0.1278
9 Ba 0.3333 0.6667 0.6172
10 Ba 0.6667 0.3333 0.3828
11 Ba 0.0000 0.0000 0.0000
12 Y 0.0000 0.0000 0.5000

---

Record 2
Entry from Alexandria: a relaxed structure of Y7ErTh2 (PBE).

Values from the calculation:
- Space group: No. 65
- Calculated volume: 404.08 Å³/cell
- Formation enthalpy at 0 K: 0.78 eV/atom

abc: 5.5463 9.3777 9.3778
angles: 55.94 90.00 90.00
Element x y z (fractional)
1 Th 0.5000 0.2955 0.2955
2 Th 0.5000 0.7045 0.7045
3 Y 0.5000 0.2870 0.9351
4 Y 0.5000 0.9351 0.2870
5 Y 0.0000 0.2116 0.2116
6 Y 0.5000 0.5000 0.5000
7 Y 0.5000 0.0649 0.7130
8 Y 0.5000 0.7130 0.0649
9 Y 0.0000 0.7884 0.7884
10 Er 0.0000 0.0000 0.0000

---

- Look up the calculated volume of the second one.
  404.08 Å³/cell